1.
RbBa2Mg: relaxed, PBE.

POSCAR file:
```
RbBa2Mg
1.0
10.6921 0.0000 0.0000
0.0000 10.6921 0.0000
5.3460 5.3460 4.1721
Mg Ba Rb
2 4 2
Cartesian
5.3460 5.3460 0.0000
5.3460 10.6921 2.0860
7.5110 2.6730 1.0430
3.1811 8.0190 1.0430
8.0190 8.5271 3.1291
13.3651 12.8570 3.1291
0.0000 0.0000 0.0000
10.6921 5.3460 2.0860
```

Calculated values
SG ... No. 122
Crystal system ... tetragonal
E_form ... 0.265 eV per atom
Spin magnetization ... 0.306 μB per formula unit

***

2.
RbBa5Mg4: relaxed, PBE.

POSCAR file:
```
RbBa5Mg4
1.0
4.4050 0.0000 0.0000
0.0000 4.4050 0.0000
0.0000 0.0000 24.6731
Rb Ba Mg
1 5 4
Cartesian
0.0000 0.0000 0.0000
2.2025 2.2025 3.7668
2.2025 2.2025 8.0161
2.2025 2.2025 12.3365
2.2025 2.2025 16.6570
2.2025 2.2025 20.9063
0.0000 0.0000 5.8585
0.0000 0.0000 10.1855
0.0000 0.0000 14.4875
0.0000 0.0000 18.8146
```

Calculated values
SG ... No. 123
Crystal system ... tetragonal
E_form ... -0.028 eV per atom
Spin magnetization ... 0.000 μB per formula unit

***

3.
RbBaMg14: relaxed, PBE.

POSCAR file:
```
RbBaMg14
1.0
3.4743 -6.0177 0.0000
3.4743 6.0177 0.0000
0.0000 0.0000 10.6874
Rb Ba Mg
1 1 14
Cartesian
0.0000 0.0000 0.0000
0.0000 0.0000 5.3437
1.7854 2.9810 0.0000
1.8049 2.9697 5.3437
5.1633 2.9810 0.0000
5.1437 2.9697 5.3437
3.4743 0.0557 0.0000
3.4743 0.0783 5.3437
3.4743 3.8261 2.6837
3.4743 3.8261 8.0037
1.8980 1.0958 2.6837
1.8980 1.0958 8.0037
5.0506 1.0958 2.6837
5.0506 1.0958 8.0037
3.4743 -2.0059 2.7144
3.4743 -2.0059 7.9730
```

Calculated values
SG ... No. 187
Crystal system ... hexagonal
E_form ... 0.157 eV per atom
Offset from the most stable computed form ... 0.012 eV/atom
Spin magnetization ... 0.000 μB per formula unit